MnMo | PBEsol | optimized geometry

Space-group type: Fm-3m (225)
Energy of formation from the pure elements in eV/atom: 0.92

Lattice parameters (Å, degrees): 3.4047 3.4047 3.4047 60.00 60.00 60.00
With the nearest neighbours (Å) after each atom.
Atoms (fractional coordinates):
Mo  0.5000  0.5000  0.5000  6 Mn 2.41
Mn  0.0000  0.0000  0.0000  6 Mo 2.41